# 1
The following is a DFT calculation (GGA-PBE) of crystalline CuTc2Au at its relaxed geometry.

Cell lengths 5.028, 5.028, 2.684 Å; angles 90.00, 90.00, 118.65 degrees
Positions (direct):
Cu 0.000 0.000 0.000
Tc 0.000 0.500 0.500
Tc 0.500 0.000 0.500
Au 0.500 0.500 0.000

**Energy of formation from the pure elements**: 138 kJ/mol of formula units
**E above lowest polymorph**: 0.98 eV per formula unit
**E_tot**: -6.668 eV per atom

***

# 2
The following is a DFT calculation (GGA-PBE) of crystalline CuTcAu2 at its relaxed geometry.

Cell lengths 4.985, 2.692, 5.035 Å; angles 90.00, 109.86, 90.00 degrees
Positions (direct):
Cu 0.000 0.000 0.000
Tc 0.000 0.500 0.500
Au 0.500 0.000 0.500
Au 0.500 0.500 0.000

**Energy of formation from the pure elements**: 137 kJ/mol of formula units
**E above lowest polymorph**: 0.59 eV per formula unit
**E_tot**: -4.898 eV per atom